[1]
Material: CuP2O6
Method: DFT, PBEsol
State: relaxed

Unit cell a=9.7717 b=8.8162 c=4.9749 alpha=90.00 beta=109.39 gamma=90.00
Last column: nearest neighbours and their distance in Å.
Space group C2/c (No. 15)
One atom of each set of equivalent atoms:
Cu1 0.0000 0.1129 0.2500  6 O 1.98-2.19
P1 0.2150 0.4078 0.2446  4 O 1.49-1.61
O1 0.1205 0.0762 0.6509  1 P 1.52
O2 0.1501 0.4937 0.4604  2 P 1.60-1.61
O3 0.1511 0.2529 0.1916  1 P 1.49

Results
Final energy   -7.028 eV per atom

=====

[2]
Material: MgB2H6O7
Method: DFT, PBEsol
State: relaxed

Unit cell a=7.5234 b=7.5234 c=8.0845 alpha=90.00 beta=90.00 gamma=90.00
Last column: nearest neighbours and their distance in Å.
Space group P4_2/n (No. 86, origin choice 2)
One atom of each set of equivalent atoms:
Mg1 0.0000 0.0000 0.0000  6 O 2.06-2.16
B1 0.1269 0.8635 0.3583  4 O 1.46-1.50
H1 0.0644 0.3661 0.7932  1 O 0.99
H2 0.1182 0.3565 0.0615  1 O 1.00
H3 0.1200 0.7871 0.6059  1 O 1.01
O1 0.0192 0.2720 0.0855  1 H 1.00
O2 0.0201 0.0981 0.7588  1 H 0.99
O3 0.0447 0.7698 0.5034  1 H 1.01
O4 0.2500 0.7500 0.2665  2 B 1.46

Results
Final energy   -6.271 eV per atom

=====

[3]
Material: Ta2TlIr
Method: DFT, PBEsol
State: relaxed

Unit cell a=4.0705 b=4.0705 c=4.1690 alpha=90.00 beta=90.00 gamma=90.00
Last column: nearest neighbours and their distance in Å.
Space group P4/mmm (No. 123)
One atom of each set of equivalent atoms:
Ta1 0.0000 0.5000 0.0000  4 Ta 2.88, 4 Tl 2.91, 4 Ir 2.91
Tl1 0.0000 0.0000 0.5000  4 Ir 2.88, 8 Ta 2.91
Ir1 0.5000 0.5000 0.5000  4 Tl 2.88, 8 Ta 2.91

Results
E_form   0.12 eV/atom

=====

Taking the records one at a time from the top gives density values of 3.639; 2.380; 18.234 Mg/m³.